Computed, not measured: a geometry-optimized NaAlBr2 structure at the PBE level of DFT.

Cell lengths 9.0508, 9.0508, 9.0508 Å; angles 27.64, 27.64, 27.64 degrees
Last column: nearest neighbours and their distance in Å.
Element x y z (fractional)
Na  0.0000  0.0000  0.0000  6 Br 3.00
Al  0.5000  0.5000  0.5000  2 Br 2.69
Br  0.3968  0.3968  0.3968  1 Al 2.69, 3 Na 3.00
Br  0.6032  0.6032  0.6032  1 Al 2.69, 3 Na 3.00

Results
The total energy comes out at -2.79 eV per atom.

=====

Computed, not measured: a geometry-optimized CsSeF6 structure at the PBE level of DFT.

Cell lengths 6.2626, 6.2626, 6.2626 Å; angles 55.30, 55.30, 55.30 degrees
Last column: nearest neighbours and their distance in Å.
Element x y z (fractional)
Cs  0.0000  0.0000  0.0000  12 F 3.31
Se  0.5000  0.5000  0.5000  6 F 1.86
F  0.1312  0.5829  0.5829  1 Se 1.86
F  0.4171  0.4171  0.8688  1 Se 1.86
F  0.4171  0.8688  0.4171  1 Se 1.86
F  0.5829  0.1312  0.5829  1 Se 1.86
F  0.5829  0.5829  0.1312  1 Se 1.86
F  0.8688  0.4171  0.4171  1 Se 1.86

Results
The total energy comes out at -3.94 eV per atom.

=====

Computed, not measured: a geometry-optimized CuTc2Cl structure at the PBE level of DFT.

Cell lengths 5.4377, 5.4377, 5.4377 Å; angles 150.33, 131.41, 57.97 degrees
Last column: nearest neighbours and their distance in Å.
Element x y z (fractional)
Cu  0.0000  0.0000  0.0000  4 Tc 2.64, 2 Cu 2.78
Tc  0.5017  0.5017  0.0000  4 Tc 2.55-2.78, 2 Cl 2.57, 4 Cu 2.64
Tc  0.7260  0.2260  0.5000  4 Tc 2.55-2.78, 4 Cl 2.67
Cl  0.2743  0.7743  0.5000  6 Tc 2.57-2.67, 2 Cl 2.78

Results
The total energy comes out at -6.01 eV per atom.

=====

Computed, not measured: a geometry-optimized CsLi2HgBi structure at the PBE level of DFT.

Cell lengths 5.4720, 5.4720, 6.2584 Å; angles 90.00, 90.00, 90.00 degrees
Last column: nearest neighbours and their distance in Å.
Element x y z (fractional)
Cs  0.0000  0.0000  0.0000  4 Hg 3.87, 8 Li 4.16
Li  0.0000  0.5000  0.5000  2 Bi 2.74
Li  0.5000  0.0000  0.5000  2 Bi 2.74
Hg  0.5000  0.5000  0.0000  2 Bi 3.13
Bi  0.5000  0.5000  0.5000  4 Li 2.74

Results
The formation energy is -0.23 eV/atom.

=====

Computed, not measured: a geometry-optimized SrV2CrB structure at the PBE level of DFT.

Cell lengths 4.1372, 4.1372, 5.1110 Å; angles 90.00, 90.00, 90.00 degrees
Last column: nearest neighbours and their distance in Å.
Element x y z (fractional)
Sr  0.0000  0.0000  0.0000  2 B 2.56
V  0.0000  0.5000  0.5000  2 B 2.07
V  0.5000  0.0000  0.5000  2 B 2.07
Cr  0.5000  0.5000  0.0000  4 Sr 2.93
B  0.0000  0.0000  0.5000  4 V 2.07

Results
The formation energy is 1.13 eV/atom.

=====

Computed, not measured: a geometry-optimized LiMgAgPt structure at the PBE level of DFT.

Cell lengths 4.6700, 4.6700, 4.6700 Å; angles 126.78, 126.78, 78.61 degrees
Last column: nearest neighbours and their distance in Å.
Element x y z (fractional)
Li  0.0000  0.0000  0.0000  4 Pt 2.76, 4 Ag 2.76, 4 Mg 2.96
Mg  0.5000  0.5000  0.0000  4 Pt 2.76, 4 Ag 2.76, 4 Li 2.96
Ag  0.2500  0.7500  0.5000  4 Mg 2.76, 4 Li 2.76, 4 Pt 2.96
Pt  0.7500  0.2500  0.5000  4 Mg 2.76, 4 Li 2.76, 4 Ag 2.96

Results
The formation energy is -0.49 eV/atom.

=====

Computed, not measured: a geometry-optimized Rb3YPd structure at the PBE level of DFT.

Cell lengths 7.1625, 7.1625, 7.1625 Å; angles 90.00, 90.00, 90.00 degrees
Last column: nearest neighbours and their distance in Å.
Element x y z (fractional)
Rb  0.0000  0.0000  0.5000  2 Y 3.58
Rb  0.0000  0.5000  0.0000  2 Y 3.58
Rb  0.5000  0.0000  0.0000  2 Y 3.58
Y  0.0000  0.0000  0.0000  6 Rb 3.58
Pd  0.5000  0.5000  0.5000  12 Rb 5.06

Results
The formation energy is 1.26 eV/atom.

=====

Computed, not measured: a geometry-optimized SbPtW2Au structure at the PBE level of DFT.

Cell lengths 4.9368, 4.9368, 4.8052 Å; angles 90.00, 90.00, 90.00 degrees
Last column: nearest neighbours and their distance in Å.
Element x y z (fractional)
Sb  0.0000  0.0000  0.0000  2 Pt 2.40, 4 W 2.47
Pt  0.0000  0.0000  0.5000  2 Sb 2.40
W  0.0000  0.5000  0.0000  2 Sb 2.47
W  0.5000  0.0000  0.0000  2 Sb 2.47
Au  0.5000  0.5000  0.5000  8 W 3.44, 4 Pt 3.49

Results
The total energy comes out at -5.74 eV per atom.

=====

Computed, not measured: a geometry-optimized ZrAg3 structure at the PBE level of DFT.

Cell lengths 5.1736, 5.1736, 5.2087 Å; angles 98.77, 98.77, 33.36 degrees
Last column: nearest neighbours and their distance in Å.
Element x y z (fractional)
Zr  0.0000  0.0000  0.0000  10 Ag 2.96-3.03, 2 Zr 2.97
Ag  0.2471  0.2471  0.7454  3 Zr 2.96-3.03, 9 Ag 2.97-3.03
Ag  0.5000  0.5000  0.5000  8 Ag 2.97-2.99, 4 Zr 3.00
Ag  0.7529  0.7529  0.2546  3 Zr 2.96-3.03, 9 Ag 2.97-3.03

Results
The formation energy is 0.03 eV/atom.

=====

Computed, not measured: a geometry-optimized Na3SrAs structure at the PBE level of DFT.

Cell lengths 5.7134, 5.7134, 5.7134 Å; angles 90.00, 90.00, 90.00 degrees
Last column: nearest neighbours and their distance in Å.
Element x y z (fractional)
Na  0.0000  0.0000  0.5000  2 As 2.86
Na  0.0000  0.5000  0.0000  2 As 2.86
Na  0.5000  0.0000  0.0000  2 As 2.86
Sr  0.5000  0.5000  0.5000  12 Na 4.04
As  0.0000  0.0000  0.0000  6 Na 2.86

Results
The formation energy is -0.13 eV/atom.

=====

Q: Number 7 is which compound?
A: Rb3YPd

=====

Q: Number 1 is which compound?
A: NaAlBr2

=====

Q: What is the formula in the fifth record?
A: SrV2CrB